Compound: YIn2SeI
Source: Alexandria
Functional: PBE-GGA
Structure: relaxed

a b c (Å): 6.017 6.017 5.696
angles (deg): 90.00 90.00 90.00
Positions (direct):
Y  0.000  0.000  0.000
In  0.000  0.500  0.500
In  0.500  0.000  0.500
Se  0.500  0.500  0.000
I  0.000  0.000  0.500

Output
- Space-group type: P4/mmm, No. 123
- Formation energy without anion corrections: 0.439 eV per atom

---

Compound: Ba2BAsF
Source: Alexandria
Functional: PBE-GGA
Structure: relaxed

a b c (Å): 6.161 6.161 4.029
angles (deg): 90.00 90.00 90.00
Positions (direct):
Ba  0.000  0.500  0.000
Ba  0.500  0.000  0.000
B  0.000  0.000  0.500
As  0.000  0.000  0.000
F  0.500  0.500  0.500

Output
- Space-group type: P4/mmm, No. 123
- Formation energy without anion corrections: -0.625 eV per atom

---

Compound: Pr4Y3Th
Source: Alexandria
Functional: PBE-GGA
Structure: relaxed

a b c (Å): 12.359 12.359 6.337
angles (deg): 104.59 104.59 17.00
Positions (direct):
Pr  0.124  0.124  0.452
Pr  0.249  0.249  0.247
Pr  0.751  0.751  0.753
Pr  0.876  0.876  0.548
Y  0.379  0.379  0.045
Y  0.500  0.500  0.500
Y  0.621  0.621  0.955
Th  0.000  0.000  0.000

Output
- Space-group type: C2/m, No. 12
- Formation energy: 12 meV per atom

---

Compound: CeNp3S4
Source: Alexandria
Functional: PBE-GGA
Structure: relaxed

a b c (Å): 5.578 5.578 5.578
angles (deg): 90.00 90.00 90.00
Positions (direct):
Ce  0.000  0.000  0.000
Np  0.000  0.500  0.500
Np  0.500  0.000  0.500
Np  0.500  0.500  0.000
S  0.000  0.000  0.500
S  0.000  0.500  0.000
S  0.500  0.000  0.000
S  0.500  0.500  0.500

Output
- Space-group type: Pm-3m, No. 221
- Formation energy without anion corrections: -1.517 eV per atom

---

Compound: BaHCl2
Source: Alexandria
Functional: PBE-GGA
Structure: relaxed

a b c (Å): 5.249 5.249 5.249
angles (deg): 60.00 60.00 60.00
Positions (direct):
Ba  0.000  0.000  0.000
H  0.500  0.500  0.500
Cl  0.250  0.250  0.250
Cl  0.750  0.750  0.750

Output
- Total DFT energy (no corrections): -3.601 eV/atom
- Space-group type: Fm-3m, No. 225

---

Compound: DyY7Tl4
Source: Alexandria
Functional: PBE-GGA
Structure: relaxed

a b c (Å): 7.914 7.914 10.275
angles (deg): 120.61 120.61 42.41
Positions (direct):
Dy  0.000  0.000  0.000
Y  0.064  0.064  0.398
Y  0.209  0.209  0.880
Y  0.271  0.271  0.329
Y  0.500  0.500  0.000
Y  0.729  0.729  0.671
Y  0.791  0.791  0.120
Y  0.936  0.936  0.602
Tl  0.315  0.315  0.665
Tl  0.441  0.441  0.255
Tl  0.559  0.559  0.745
Tl  0.685  0.685  0.335

Output
- Space-group type: C2/m, No. 12
- Formation energy: -43 meV per atom